# PBE with a Hubbard U Tb2FeF8, optimized geometry
data_Tb2FeF8
_symmetry_space_group_name_H-M 'C 1 2/m 1'
_symmetry_Int_Tables_number 12
_symmetry_space_group_name_Hall '-C 2y'
_cell_length_a 14.890
_cell_length_b 3.604
_cell_length_c 5.371
_cell_angle_alpha 90.00
_cell_angle_beta 109.74
_cell_angle_gamma 90.00
loop_
_atom_site_label
_atom_site_type_symbol
_atom_site_fract_x
_atom_site_fract_y
_atom_site_fract_z
Tb1 Tb 0.174 0.000 0.183
Fe1 Fe 0.000 0.500 0.500
F1 F 0.044 0.000 0.338
F2 F 0.092 0.500 0.926
F3 F 0.180 0.500 0.461
F4 F 0.222 0.000 0.828
# - Crystal system: monoclinic
# - Fermi-level density of states: 0.00 states/eV/f.u.
# - Uncorrected energy: -6.34 eV per atom